w) {"formula": "AcUO5", "functional": "GGA-PBE", "state": "optimized geometry", "spacegroup": "C2/c", "crystal_system": "monoclinic", "lattice_angstrom": [[4.892, -3.487, 0.000], [4.892, 3.487, 0.000], [-3.654, 0.000, 7.605]], "species": ["Ac", "Ac", "U", "U", "O", "O", "O", "O", "O", "O", "O", "O", "O", "O"], "fractional_positions": [[0.041, 0.959, 0.750], [0.959, 0.041, 0.250], [0.500, 0.500, 0.000], [0.500, 0.500, 0.500], [0.202, 0.785, 0.027], [0.215, 0.798, 0.473], [0.268, 0.290, 0.388], [0.290, 0.268, 0.888], [0.415, 0.585, 0.750], [0.585, 0.415, 0.250], [0.710, 0.732, 0.112], [0.732, 0.710, 0.612], [0.785, 0.202, 0.527], [0.798, 0.215, 0.973]]}

---

x) {"formula": "AcUO5", "functional": "GGA-PBE", "state": "optimized geometry", "spacegroup": "Immm", "crystal_system": "orthorhombic", "lattice_angstrom": [[-2.139, 3.482, 4.405], [2.139, -3.482, 4.405], [2.139, 3.482, -4.405]], "species": ["Ac", "U", "O", "O", "O", "O", "O"], "fractional_positions": [[0.000, 0.000, 0.000], [0.500, 0.500, 0.000], [0.204, 0.500, 0.704], [0.278, 0.278, 0.000], [0.500, 0.000, 0.500], [0.722, 0.722, 0.000], [0.796, 0.500, 0.296]]}

---

Which structure above is the least stable? It is x).